CaLa2Al | Alexandria | SCAN | PBEsol geometry; total energy = -104.01 eV per formula unit; symmetry = Imm2 (44); ΔE_f = -0.097 eV/atom
1.0
3.903 0.000 0.000
0.000 5.500 0.000
-1.952 -2.750 5.664
Ca La Al
1 2 1
direct
0.217 0.717 0.433
0.999 0.999 0.999
0.779 0.279 0.559
0.505 0.505 0.009

Li2Ni3WO8 | Alexandria | SCAN | PBEsol geometry; ΔE to the lowest computed polymorph = 0.00 kcal/mol of atoms; formation energy without anion corrections = -1.78 eV/atom; total energy = -197.73 eV per formula unit; symmetry = P6_3mc (186)
1.0
5.750 0.000 0.000
-2.875 4.980 0.000
0.000 0.000 9.424
O Ni Li W
16 6 4 2
direct
0.831 0.169 0.411
0.965 0.482 0.653
0.035 0.518 0.153
0.667 0.333 0.880
0.333 0.667 0.380
0.482 0.518 0.153
0.000 0.000 0.201
0.169 0.831 0.911
0.518 0.035 0.653
0.339 0.169 0.411
0.000 0.000 0.701
0.831 0.661 0.411
0.518 0.482 0.653
0.661 0.831 0.911
0.169 0.339 0.911
0.482 0.965 0.153
0.831 0.662 0.786
0.662 0.831 0.286
0.169 0.338 0.286
0.831 0.169 0.786
0.338 0.169 0.786
0.169 0.831 0.286
0.000 0.000 0.510
0.667 0.333 0.095
0.000 0.000 0.010
0.333 0.667 0.595
0.667 0.333 0.510
0.333 0.667 0.010

CaAgAs2 | Alexandria | SCAN | PBEsol geometry; total energy = -83.51 eV per formula unit; symmetry = P2/m (10); ΔE_f = -0.524 eV/atom
1.0
3.934 0.000 0.127
0.000 4.080 0.000
-0.265 0.000 5.701
As Ag Ca
2 1 1
direct
0.007 0.000 0.215
0.993 0.000 0.785
0.000 0.500 0.500
0.500 0.500 0.000

LiLa2As | Alexandria | SCAN | PBEsol geometry; total energy = -112.11 eV per formula unit; symmetry = Amm2 (38); ΔE_f = -0.831 eV/atom
1.0
4.205 0.000 0.000
0.000 4.302 0.000
0.000 -2.151 5.650
As La Li
1 2 1
direct
0.500 0.681 0.361
0.500 0.401 0.802
0.000 0.109 0.218
0.000 0.809 0.617

KFeSi2Pb | Alexandria | SCAN | PBEsol geometry; formation energy without anion corrections = 2.06 eV/atom; total energy = -111.95 eV per formula unit; symmetry = P4/mmm (123)
1.0
4.607 0.000 0.000
0.000 5.299 0.000
0.000 0.000 5.299
Fe Pb Si K
1 1 2 1
direct
0.500 0.000 0.000
0.500 0.500 0.500
0.000 0.000 0.500
0.000 0.500 0.000
0.000 0.000 0.000

SrTaRu2 | Alexandria | SCAN | PBEsol geometry; ΔE to the lowest computed polymorph = 3.31 kcal/mol of atoms; total energy = -156.29 eV per formula unit; symmetry = P4mm (99); ΔE_f = 0.555 eV/atom
1.0
-2.241 1.563 -0.771
-0.996 -2.179 -1.523
-4.591 -2.992 7.282
Ta Sr Ru
1 1 2
direct
0.500 0.500 0.803
0.000 0.000 0.472
0.500 0.500 0.199
0.000 0.000 0.025

Zr3AgC | Alexandria | SCAN | PBEsol geometry; ΔE to the lowest computed polymorph = 58.09 kcal/mol of atoms; total energy = -123.18 eV per formula unit; symmetry = Pm-3m (221); ΔE_f = 2.076 eV/atom
1.0
-3.097 0.292 3.926
3.515 -2.045 2.925
1.773 4.563 1.059
Zr Ag C
3 1 1
direct
0.000 0.500 0.000
0.000 0.000 0.500
0.500 0.000 0.000
0.000 0.000 0.000
0.500 0.500 0.500

Li2TaBeH | Alexandria | SCAN | PBEsol geometry; total energy = -76.17 eV per formula unit; symmetry = P4/mmm (123)
1.0
-1.244 1.704 2.938
1.361 -2.617 2.094
3.566 2.092 0.297
Li Be H Ta
2 1 1 1
direct
0.000 0.500 0.000
0.500 0.000 0.000
0.000 0.000 0.500
0.000 0.000 0.000
0.500 0.500 0.500

Tm2Ga3Fe14 | Alexandria | SCAN | PBEsol geometry; total energy = -408.65 eV per formula unit; symmetry = P6_3/mmc (194); ΔE_f = -0.112 eV/atom
1.0
-7.252 3.615 -0.233
-2.280 -4.135 6.825
3.673 7.412 0.672
Tm Fe Ga
4 28 6
direct
0.750 0.000 0.000
0.750 0.333 0.667
0.250 0.667 0.333
0.250 0.000 0.000
0.986 0.672 0.836
0.750 0.348 0.027
0.250 0.321 0.348
0.986 0.164 0.836
0.750 0.679 0.652
0.750 0.973 0.652
0.750 0.348 0.321
0.250 0.027 0.348
0.486 0.836 0.672
0.486 0.328 0.164
0.514 0.672 0.836
0.750 0.679 0.027
0.250 0.027 0.679
0.014 0.328 0.164
0.250 0.652 0.679
0.250 0.652 0.973
0.750 0.973 0.321
0.250 0.321 0.973
0.014 0.836 0.164
0.486 0.836 0.164
0.888 0.667 0.333
0.612 0.667 0.333
0.014 0.836 0.672
0.388 0.333 0.667
0.514 0.164 0.836
0.514 0.164 0.328
0.112 0.333 0.667
0.986 0.164 0.328
0.000 0.500 0.000
0.500 0.500 0.000
0.500 0.000 0.500
0.000 0.000 0.500
0.000 0.500 0.500
0.500 0.500 0.500

VCuP2S6 | Alexandria | SCAN | PBEsol geometry; formation energy without anion corrections = -0.52 eV/atom; total energy = -116.46 eV per formula unit; symmetry = P1 (1)
1.0
-4.610 -2.800 -2.422
0.364 -2.085 -5.544
0.691 -6.483 1.409
Cu S P V
1 6 2 1
direct
0.599 0.662 0.218
0.564 0.308 0.253
0.734 0.022 0.756
0.102 0.326 0.754
0.231 0.042 0.252
0.964 0.644 0.257
0.406 0.656 0.749
0.948 0.999 0.165
0.058 0.000 0.824
0.331 0.338 0.985

Ca2LaBeO5 | Alexandria | SCAN | PBEsol geometry; formation energy without anion corrections = -3.07 eV/atom; total energy = -125.56 eV per formula unit; symmetry = Pnma (62)
1.0
6.436 0.000 0.000
0.000 7.247 0.000
0.000 0.000 9.284
La O Be Ca
4 20 4 8
direct
0.100 0.750 0.027
0.600 0.250 0.473
0.900 0.250 0.973
0.400 0.750 0.527
0.670 0.250 0.732
0.330 0.750 0.268
0.141 0.250 0.778
0.830 0.250 0.232
0.975 0.250 0.513
0.525 0.250 0.013
0.359 0.250 0.278
0.859 0.750 0.222
0.310 0.061 0.572
0.690 0.561 0.428
0.190 0.061 0.072
0.025 0.750 0.487
0.810 0.939 0.928
0.310 0.439 0.572
0.475 0.750 0.987
0.690 0.939 0.428
0.190 0.439 0.072
0.170 0.750 0.768
0.810 0.561 0.928
0.641 0.750 0.722
0.811 0.750 0.394
0.689 0.750 0.894
0.189 0.250 0.606
0.311 0.250 0.106
0.418 0.471 0.828
0.918 0.529 0.672
0.082 0.471 0.328
0.582 0.529 0.172
0.082 0.029 0.328
0.918 0.971 0.672
0.582 0.971 0.172
0.418 0.029 0.828

InPOsS2 | Alexandria | SCAN | PBEsol geometry; formation energy without anion corrections = 1.81 eV/atom; total energy = -125.86 eV per formula unit; symmetry = P4/mmm (123)
1.0
4.792 0.000 0.000
0.000 4.792 0.000
0.000 0.000 4.911
In P S Os
1 1 2 1
direct
0.000 0.000 0.000
0.000 0.000 0.500
0.500 0.000 0.000
0.000 0.500 0.000
0.500 0.500 0.500

no.,total magnetic moment (μB/cell)
1,0.0
2,8.0
3,0.0
4,1.5
5,2.9
6,0.0
7,0.0
8,0.0
9,62.6
10,2.0
11,4.1
12,3.0